DFT (PBE+U) results for a relaxed Ni2Mo3O8 crystal.

a b c (Å): 5.837 5.837 10.044
angles (deg): 90.00 90.00 120.00
Fractional positions:
Ni  0.333  0.667  0.000
Ni  0.333  0.667  0.436
Ni  0.667  0.333  0.500
Ni  0.667  0.333  0.936
Mo  0.146  0.292  0.699
Mo  0.146  0.854  0.699
Mo  0.292  0.146  0.199
Mo  0.708  0.854  0.699
Mo  0.854  0.146  0.199
Mo  0.854  0.708  0.199
O  0.000  0.000  0.056
O  0.000  0.000  0.556
O  0.023  0.512  0.582
O  0.169  0.339  0.315
O  0.169  0.831  0.315
O  0.333  0.667  0.802
O  0.339  0.169  0.815
O  0.488  0.512  0.582
O  0.488  0.977  0.582
O  0.512  0.023  0.082
O  0.512  0.488  0.082
O  0.661  0.831  0.315
O  0.667  0.333  0.302
O  0.831  0.169  0.815
O  0.831  0.661  0.815
O  0.977  0.488  0.082

Output
raw total energy	-167.93	eV/cell
SG	P6_3mc, No. 186